[1]
A relaxed structure of PrMnCo, computed with PBE-GGA.

The structure in extended XYZ format:
```
6
Lattice="5.6915 -2.0390 0.0000 5.6915 2.0390 0.0000 -1.3824 0.0000 5.0986" Properties=species:S:1:pos:R:3 pbc="T T T"
Pr 0.8833 0.0000 1.5592
Pr 9.1174 0.0000 3.5394
Mn 4.2202 0.0000 1.1253
Mn 5.7805 0.0000 3.9732
Co 1.2087 0.0000 4.4303
Co 8.7919 0.0000 0.6682
```

* magnetization: 3.3 μB/f.u.
* DOS(E_F): 1.05 states/eV per atom
* space group: C2/m
* formation enthalpy at 0 K: 0.1203 eV/atom

***

[2]
A relaxed structure of CrSiAs, computed with PBE-GGA.

The structure in extended XYZ format:
```
3
Lattice="-1.6018 1.7965 4.0037 1.6018 -1.7965 4.0037 1.6018 1.7965 -4.0037" Properties=species:S:1:pos:R:3 pbc="T T T"
Cr 0.0000 0.0000 0.0000
Si 0.0000 0.0000 3.8125
As 0.0000 1.7965 1.9684
```

* magnetization: 0.8 μB/f.u.
* DOS(E_F): 0.56 states/eV per atom
* space group: Imm2
* formation energy from raw total energies: 0.196 eV per atom

***

[3]
A relaxed structure of Pr6P2PtCl3, computed with PBE-GGA.

The structure in extended XYZ format:
```
12
Lattice="9.3069 -2.0590 0.0000 9.3069 2.0590 0.0000 -2.0090 0.0000 8.4376" Properties=species:S:1:pos:R:3 pbc="T T T"
Pr -0.3300 0.0000 1.9360
Pr 5.1835 0.0000 3.6764
Pr 4.4261 0.0000 7.5562
Pr 12.1788 0.0000 0.8814
Pr 11.4214 0.0000 4.7612
Pr 16.9349 0.0000 6.5015
P 2.4470 0.0000 2.8163
P 14.1578 0.0000 5.6212
Pt 9.3069 0.0000 0.0000
Cl 1.4113 0.0000 6.9766
Cl 8.3024 0.0000 4.2188
Cl 15.1936 0.0000 1.4610
```

* magnetization: 0.0 μB/f.u.
* DOS(E_F): 0.55 states/eV per atom
* space group: C2/m
* formation energy from raw total energies: -1.492 eV per atom

***

[4]
A relaxed structure of AcTmGaAg, computed with PBE-GGA.

The structure in extended XYZ format:
```
4
Lattice="0.0000 3.7805 3.7805 3.7805 0.0000 3.7805 3.7805 3.7805 0.0000" Properties=species:S:1:pos:R:3 pbc="T T T"
Ac 0.0000 0.0000 0.0000
Tm 3.7805 3.7805 3.7805
Ga 5.6707 5.6707 5.6707
Ag 1.8902 1.8902 1.8902
```

* magnetization: 0.0 μB/f.u.
* DOS(E_F): 0.70 states/eV per atom
* space group: F-43m
* formation enthalpy at 0 K: -0.3480 eV/atom